The following is a DFT calculation (PBE-GGA) of a relaxed LiSc2Rh4 crystal.

Calculated density in g/cm3: 7.43
DOS(E_F) in states/eV per cell: 4.40
Calculated total energy in eV/f.u.: -46.7

Cell lengths 4.2730, 4.2730, 6.2255 Å; angles 90.00, 90.00, 90.00 degrees
Last column: nearest neighbours and their distance in Å.
Sites, in units of the cell vectors:
Sc (0.0000, 0.0000, 0.0000)  8 Rh 2.67
Sc (0.5000, 0.5000, 0.5000)  8 Rh 2.62
Rh (0.5000, 0.0000, 0.2565)  4 Sc 2.62-2.67, 2 Li 2.67
Rh (0.0000, 0.5000, 0.2565)  4 Sc 2.62-2.67, 2 Li 2.67
Rh (0.0000, 0.5000, 0.7435)  4 Sc 2.62-2.67, 2 Li 2.67
Rh (0.5000, 0.0000, 0.7435)  4 Sc 2.62-2.67, 2 Li 2.67
Li (0.5000, 0.5000, 0.0000)  8 Rh 2.67

***

The following is a DFT calculation (PBE-GGA) of a relaxed LiScRh4 crystal.

Calculated density in g/cm3: 7.94
DOS(E_F) in states/eV per cell: 8.18
Calculated total energy in eV/f.u.: -39.8

Cell lengths 5.1567, 5.1567, 5.1567 Å; angles 60.00, 60.00, 60.00 degrees
Last column: nearest neighbours and their distance in Å.
Sites, in units of the cell vectors:
Rh (0.3748, 0.8755, 0.3748)  6 Rh 2.58
Rh (0.3748, 0.3748, 0.3748)  6 Rh 2.58
Rh (0.8755, 0.3748, 0.3748)  6 Rh 2.58
Rh (0.3748, 0.3748, 0.8755)  6 Rh 2.58
Li (0.0000, 0.0000, 0.0000)  12 Rh 3.02, 4 Sc 3.16
Sc (0.7500, 0.7500, 0.7500)  12 Rh 3.02, 4 Li 3.16

***

The following is a DFT calculation (PBE-GGA) of a relaxed LiSc3Rh crystal.

Calculated density in g/cm3: 3.12
DOS(E_F) in states/eV per cell: 2.81
Distance to the lowest polymorph of the same formula in kJ/mol of atoms: 0.00

Cell lengths 5.0672, 5.0672, 5.0672 Å; angles 90.00, 90.00, 90.00 degrees
Last column: nearest neighbours and their distance in Å.
Sites, in units of the cell vectors:
Sc (0.0000, 0.0000, 0.5000)  2 Rh 2.53
Sc (0.5000, 0.0000, 0.0000)  2 Rh 2.53
Sc (0.0000, 0.5000, 0.0000)  2 Rh 2.53
Rh (0.0000, 0.0000, 0.0000)  6 Sc 2.53
Li (0.5000, 0.5000, 0.5000)  12 Sc 3.58

***

The following is a DFT calculation (PBE-GGA) of a relaxed LiScRh2 crystal.

Calculated density in g/cm3: 6.80
DOS(E_F) in states/eV per cell: 3.16
Calculated total energy in eV/f.u.: -22.8

Cell lengths 5.4325, 5.4325, 5.4325 Å; angles 61.17, 149.76, 128.20 degrees
Last column: nearest neighbours and their distance in Å.
Sites, in units of the cell vectors:
Li (0.0000, 0.0000, 0.0000)  2 Rh 2.21
Rh (0.0000, 0.7635, 0.7635)  1 Li 2.21, 1 Sc 2.46
Rh (0.0000, 0.2365, 0.2365)  1 Li 2.21, 1 Sc 2.46
Sc (0.0000, 0.5000, 0.5000)  2 Rh 2.46

***

The following is a DFT calculation (PBE-GGA) of a relaxed Li2ScRh crystal.

Calculated density in g/cm3: 3.94
DOS(E_F) in states/eV per cell: 4.58
Distance to the lowest polymorph of the same formula in kJ/mol of atoms: 46.57

Cell lengths 2.7878, 2.7878, 9.5381 Å; angles 90.00, 90.00, 113.06 degrees
Last column: nearest neighbours and their distance in Å.
Sites, in units of the cell vectors:
Li (0.0000, 0.0000, 0.4619)  2 Rh 2.54, 4 Li 2.79
Li (0.0000, 0.0000, 0.0381)  2 Rh 2.54, 4 Li 2.79
Rh (0.5000, 0.5000, 0.2500)  4 Li 2.54, 4 Rh 2.79
Sc (0.5000, 0.5000, 0.7500)  6 Sc 2.79-3.08

***

The following is a DFT calculation (PBE-GGA) of a relaxed LiSc3Rh crystal.

Calculated density in g/cm3: 3.91
DOS(E_F) in states/eV per cell: 8.00
Distance to the lowest polymorph of the same formula in kJ/mol of atoms: 73.71

Cell lengths 4.7007, 4.7007, 4.7007 Å; angles 90.00, 90.00, 90.00 degrees
Last column: nearest neighbours and their distance in Å.
Sites, in units of the cell vectors:
Sc (0.0000, 0.0000, 0.5000)  2 Li 2.35
Sc (0.0000, 0.5000, 0.0000)  2 Li 2.35
Sc (0.5000, 0.0000, 0.0000)  2 Li 2.35
Rh (0.5000, 0.5000, 0.5000)  12 Sc 3.32
Li (0.0000, 0.0000, 0.0000)  6 Sc 2.35

***

The following is a DFT calculation (PBE-GGA) of a relaxed Li4ScRh crystal.

Calculated density in g/cm3: 3.21
DOS(E_F) in states/eV per cell: 6.14
Calculated total energy in eV/f.u.: -21.4

Cell lengths 5.0446, 5.0446, 5.0446 Å; angles 60.00, 60.00, 60.00 degrees
Last column: nearest neighbours and their distance in Å.
Sites, in units of the cell vectors:
Rh (0.7500, 0.7500, 0.7500)  12 Li 2.95, 4 Sc 3.09
Li (0.3777, 0.3777, 0.8670)  6 Li 2.47-2.58
Li (0.3777, 0.8670, 0.3777)  6 Li 2.47-2.58
Li (0.8670, 0.3777, 0.3777)  6 Li 2.47-2.58
Li (0.3777, 0.3777, 0.3777)  6 Li 2.47-2.58
Sc (0.0000, 0.0000, 0.0000)  12 Li 2.96, 4 Rh 3.09

***

The following is a DFT calculation (PBE-GGA) of a relaxed LiScRh2 crystal.

Calculated density in g/cm3: 7.07
DOS(E_F) in states/eV per cell: 2.60
Calculated total energy in eV/f.u.: -24.6

Cell lengths 5.1710, 4.9576, 2.8889 Å; angles 76.54, 83.56, 119.26 degrees
Last column: nearest neighbours and their distance in Å.
Sites, in units of the cell vectors:
Li (0.5000, 0.5000, 0.0000)  4 Rh 2.56, 2 Sc 2.82
Sc (0.0000, 0.5000, 0.5000)  4 Rh 2.56, 2 Li 2.82
Rh (0.5000, 0.0000, 0.5000)  2 Sc 2.56, 2 Li 2.56, 2 Rh 2.82
Rh (0.0000, 0.0000, 0.0000)  2 Li 2.56, 2 Sc 2.56, 2 Rh 2.82

***

The following is a DFT calculation (PBE-GGA) of a relaxed LiScRh2 crystal.

Calculated density in g/cm3: 6.97
DOS(E_F) in states/eV per cell: 5.35
Calculated total energy in eV/f.u.: -24.4

Cell lengths 4.4272, 4.4272, 4.4272 Å; angles 60.00, 60.00, 60.00 degrees
Last column: nearest neighbours and their distance in Å.
Sites, in units of the cell vectors:
Sc (0.7500, 0.7500, 0.7500)  4 Li 2.71, 4 Rh 2.71
Rh (0.2500, 0.2500, 0.2500)  4 Rh 2.71, 4 Li 2.71
Rh (0.0000, 0.0000, 0.0000)  4 Rh 2.71, 4 Sc 2.71
Li (0.5000, 0.5000, 0.5000)  4 Sc 2.71, 4 Rh 2.71

***

The following is a DFT calculation (PBE-GGA) of a relaxed LiScRh2 crystal.

Calculated density in g/cm3: 6.87
DOS(E_F) in states/eV per cell: 4.47
Calculated total energy in eV/f.u.: -23.8

Cell lengths 6.6988, 6.6988, 5.4894 Å; angles 52.40, 52.40, 90.00 degrees
Last column: nearest neighbours and their distance in Å.
Sites, in units of the cell vectors:
Sc (0.0000, 0.0000, 0.0000)  4 Rh 2.58, 2 Li 2.77
Sc (0.7500, 0.2500, 0.5000)  4 Rh 2.58, 2 Li 2.77
Li (0.2500, 0.7500, 0.5000)  4 Rh 2.36
Li (0.5000, 0.5000, 0.0000)  4 Rh 2.36
Rh (0.6008, 0.1250, 0.2500)  2 Li 2.36, 2 Sc 2.58
Rh (0.1492, 0.6250, 0.2500)  2 Li 2.36, 2 Sc 2.58
Rh (0.3750, 0.3992, 0.7500)  2 Li 2.36, 2 Sc 2.58
Rh (0.8750, 0.8508, 0.7500)  2 Li 2.36, 2 Sc 2.58

***

The following is a DFT calculation (PBE-GGA) of a relaxed Li2ScRh crystal.

Calculated density in g/cm3: 4.17
DOS(E_F) in states/eV per cell: 2.43
Distance to the lowest polymorph of the same formula in kJ/mol of atoms: 0.00

Cell lengths 5.3310, 5.3310, 5.3310 Å; angles 139.07, 139.07, 59.27 degrees
Last column: nearest neighbours and their distance in Å.
Sites, in units of the cell vectors:
Li (0.0000, 0.0000, 0.0000)  4 Li 2.64
Li (0.5000, 0.5000, 0.0000)  4 Li 2.64
Rh (0.2500, 0.7500, 0.5000)  4 Sc 2.64
Sc (0.7500, 0.2500, 0.5000)  4 Rh 2.64

***

The following is a DFT calculation (PBE-GGA) of a relaxed Li2ScRh2 crystal.

Calculated density in g/cm3: 6.31
DOS(E_F) in states/eV per cell: 5.52
Distance to the lowest polymorph of the same formula in kJ/mol of atoms: 0.00

Cell lengths 6.6843, 6.6843, 3.1170 Å; angles 90.00, 90.00, 90.00 degrees
Last column: nearest neighbours and their distance in Å.
Sites, in units of the cell vectors:
Sc (0.5000, 0.5000, 0.0000)  4 Li 2.71, 8 Rh 2.89
Sc (0.0000, 0.0000, 0.0000)  4 Li 2.71, 8 Rh 2.89
Li (0.6098, 0.1098, 0.0000)  1 Li 2.08
Li (0.8902, 0.6098, 0.0000)  1 Li 2.08
Li (0.3902, 0.8902, 0.0000)  1 Li 2.08
Li (0.1098, 0.3902, 0.0000)  1 Li 2.08
Rh (0.8092, 0.3092, 0.5000)  6 Li 2.45-2.60
Rh (0.3092, 0.1908, 0.5000)  6 Li 2.45-2.60
Rh (0.1908, 0.6908, 0.5000)  6 Li 2.45-2.60
Rh (0.6908, 0.8092, 0.5000)  6 Li 2.45-2.60